DFT (PBE-GGA) results for a relaxed structure of Hf5Co2Os.

Unit cell a=6.5233 b=6.5233 c=8.2252 alpha=113.36 beta=113.36 gamma=90.00
Fractional positions:
Hf (0.5264, 0.6805, 0.7069)
Hf (0.8195, 0.9736, 0.2931)
Hf (0.0000, 0.0000, 0.0000)
Hf (0.5000, 0.5000, 0.0000)
Hf (0.1805, 0.0264, 0.7069)
Hf (0.6805, 0.1805, 0.7069)
Hf (0.0264, 0.5264, 0.7069)
Hf (0.3195, 0.8195, 0.2931)
Hf (0.9736, 0.4736, 0.2931)
Hf (0.4736, 0.3195, 0.2931)
Co (0.1293, 0.3707, 0.0000)
Co (0.6293, 0.1293, 0.0000)
Co (0.3707, 0.8707, 0.0000)
Co (0.8707, 0.6293, 0.0000)
Os (0.7500, 0.7500, 0.5000)
Os (0.2500, 0.2500, 0.5000)

## Properties
Total DFT energy (no corrections)   -156.46 eV/cell
Space-group type   I4/mcm, No. 140
Magnetic moment   0.00 Bohr magnetons per cell
Calculated volume   18.112 Å³ per atom
Energy of formation from the pure elements   -0.378 eV per atom

=====

DFT (PBE-GGA) results for a relaxed structure of HfCoOs3.

Unit cell a=4.4247 b=4.4247 c=4.4247 alpha=90.00 beta=90.00 gamma=90.00
Fractional positions:
Hf (0.5000, 0.5000, 0.5000)
Os (0.0000, 0.5000, 0.0000)
Os (0.0000, 0.0000, 0.5000)
Os (0.5000, 0.0000, 0.0000)
Co (0.0000, 0.0000, 0.0000)

## Properties
Total DFT energy (no corrections)   -45.12 eV/cell
Space-group type   Pm-3m, No. 221
Energy above the most stable polymorph in this dataset   0.00 eV per formula unit
Magnetic moment   2.96 Bohr magnetons per cell
Calculated volume   17.325 Å³ per atom
Energy of formation from the pure elements   1.127 eV per atom

=====

DFT (PBE-GGA) results for a relaxed structure of Hf4CoOs.

Unit cell a=5.7211 b=6.1581 c=6.8866 alpha=90.00 beta=107.48 gamma=90.00
Fractional positions:
Hf (0.5886, 0.2500, 0.4111)
Hf (0.4114, 0.7500, 0.5889)
Hf (0.5859, 0.2500, 0.8848)
Hf (0.4141, 0.7500, 0.1152)
Hf (0.9917, 0.9993, 0.2568)
Hf (0.0083, 0.4993, 0.7432)
Hf (0.9917, 0.5007, 0.2568)
Hf (0.0083, 0.0007, 0.7432)
Co (0.2306, 0.2500, 0.5534)
Co (0.7694, 0.7500, 0.4466)
Os (0.2437, 0.2500, 0.0659)
Os (0.7563, 0.7500, 0.9341)

## Properties
Total DFT energy (no corrections)   -119.56 eV/cell
Space-group type   P2_1/m, No. 11
Energy above the most stable polymorph in this dataset   0.00 eV per formula unit
Magnetic moment   0.00 Bohr magnetons per cell
Calculated volume   19.285 Å³ per atom
Energy of formation from the pure elements   -0.272 eV per atom

=====

DFT (PBE-GGA) results for a relaxed structure of Hf2CoOs2.

Unit cell a=6.4041 b=6.4041 c=4.1725 alpha=90.00 beta=90.00 gamma=90.00
Fractional positions:
Hf (0.1784, 0.6784, 0.5000)
Hf (0.6784, 0.8216, 0.5000)
Hf (0.8216, 0.3216, 0.5000)
Hf (0.3216, 0.1784, 0.5000)
Os (0.3630, 0.8630, 0.0000)
Os (0.8630, 0.6370, 0.0000)
Os (0.6370, 0.1370, 0.0000)
Os (0.1370, 0.3630, 0.0000)
Co (0.0000, 0.0000, 0.0000)
Co (0.5000, 0.5000, 0.0000)

## Properties
Total DFT energy (no corrections)   -100.52 eV/cell
Space-group type   P4/mbm, No. 127
Magnetic moment   0.00 Bohr magnetons per cell
Calculated volume   17.113 Å³ per atom
Energy of formation from the pure elements   -0.158 eV per atom

=====

DFT (PBE-GGA) results for a relaxed structure of Hf6Co2Os.

Unit cell a=7.5616 b=7.5616 c=7.5616 alpha=69.21 beta=69.27 gamma=106.92
Fractional positions:
Hf (0.1826, 0.7114, 0.1060)
Hf (0.8174, 0.2886, 0.8940)
Hf (0.1826, 0.2886, 0.5287)
Hf (0.8174, 0.7114, 0.4713)
Hf (0.4310, 0.2387, 0.8077)
Hf (0.5690, 0.7613, 0.1923)
Hf (0.0464, 0.2387, 0.1923)
Hf (0.9536, 0.7613, 0.8077)
Hf (0.3293, 0.0331, 0.2962)
Hf (0.6707, 0.9669, 0.7038)
Hf (0.3293, 0.6255, 0.7038)
Hf (0.6707, 0.3745, 0.2962)
Co (0.1351, 0.6351, 0.5000)
Co (0.8649, 0.3649, 0.5000)
Co (0.3481, 0.0000, 0.6519)
Co (0.6519, 0.0000, 0.3481)
Os (0.5000, 0.5000, 0.0000)
Os (0.0000, 0.0000, 0.0000)

## Properties
Total DFT energy (no corrections)   -176.74 eV/cell
Space-group type   Immm, No. 71
Magnetic moment   0.00 Bohr magnetons per cell
Calculated volume   18.463 Å³ per atom
Energy of formation from the pure elements   -0.356 eV per atom

=====

DFT (PBE-GGA) results for a relaxed structure of Hf2CoOs.

Unit cell a=3.2202 b=4.5511 c=4.5511 alpha=90.00 beta=90.00 gamma=90.00
Fractional positions:
Hf (0.0000, 0.0000, 0.5000)
Hf (0.0000, 0.5000, 0.0000)
Os (0.5000, 0.0000, 0.0000)
Co (0.5000, 0.5000, 0.5000)

## Properties
Total DFT energy (no corrections)   -40.43 eV/cell
Space-group type   P4/mmm, No. 123
Magnetic moment   0.93 Bohr magnetons per cell
Calculated volume   16.674 Å³ per atom
Energy of formation from the pure elements   -0.546 eV per atom